This record from Alexandria describes crystalline NdPaRu at its relaxed geometry. The functional is GGA-PBE.

abc: 3.550 3.550 11.368
angles: 90.00 90.00 90.00
Space group I4mm (No. 107)
Inequivalent atoms, fractional coordinates:
Nd  0.000  0.000  0.000
Pa  0.000  0.000  0.299
Ru  0.000  0.000  0.700

## Properties
The value obtained for the density of states at the Fermi level is 5.83 states/eV/cell. The energy relative to the lowest polymorph listed for this composition is 0 meV/atom. The value obtained for the total magnetization is 0.000 μB/atom. The value obtained for the total energy is -8.121 eV/atom. Its formation energy is -0.274 eV per atom.